--- one ---
21
Lattice="-4.3731 1.5532 2.8366 1.1518 -4.1932 3.8880 5.0347 5.6141 3.5991" Properties=species:S:1:pos:R:3 comment="Tb4MgAl2Fe2O12, optimized geometry, DFT GGA+U" m_tot_mub_per_fu=8.005 rho_g_cm3=6.41 sg="P1 (1)" volume_a3_per_fu=263.6 pbc="T T T"
O 1.8049 0.9808 8.2912
O -1.6359 -1.1779 4.8697
O 3.5041 3.8750 5.4309
O -0.1612 1.9292 1.9882
O -1.1925 2.8269 4.8320
O 0.8719 3.8786 6.8872
O -0.2439 0.7840 6.2768
O -2.4516 1.0972 2.8398
O 1.7905 2.0002 4.1301
O 4.4819 1.9390 7.3413
O 1.2756 -0.7051 3.3320
O 2.8286 -0.0299 5.5995
Mg 2.0170 5.0075 5.7724
Tb 3.3970 3.5693 3.1833
Tb -0.4588 0.6258 4.0392
Tb -1.6872 -0.8090 7.2661
Tb 2.2543 2.1541 6.3973
Al 2.7273 0.4588 3.6998
Al -0.5932 -2.5815 5.1271
Fe 5.4965 3.3316 5.7754
Fe 0.2490 3.5366 3.2607

***

--- two ---
21
Lattice="5.3582 0.0084 0.0048 -0.0305 5.8612 -0.0020 -0.7058 -0.4107 8.2204" Properties=species:S:1:pos:R:3 comment="Tb4MgAl2Fe2O12, optimized geometry, DFT GGA+U" m_tot_mub_per_fu=8.036 rho_g_cm3=6.55 sg="P1 (1)" volume_a3_per_fu=258.2 pbc="T T T"
O 3.4858 1.7655 4.4338
O 1.2282 5.1714 6.4291
O 3.9285 4.5821 4.6346
O 3.5852 0.5490 1.4761
O 0.8148 0.9279 3.5306
O 4.3411 3.2000 2.3495
O 1.1746 0.7843 0.4808
O 1.2250 3.6466 0.8303
O 3.5273 4.6049 7.4424
O 1.2235 3.8179 3.7416
O 3.0716 1.4566 7.3104
O 0.2049 2.5606 5.8859
Al 4.9479 3.0012 4.1225
Al 2.1993 -0.0476 7.9695
Tb 2.2778 2.2989 2.3058
Tb 2.4418 3.1720 5.9094
Tb 4.7056 0.4853 5.9523
Tb 0.0141 5.2274 2.0273
Fe 2.2560 5.6493 4.1913
Fe 5.0349 2.1513 0.7669
Mg -0.0566 3.8544 7.3450

***

Referenced to the most stable arrangement, the calculated values in meV per atom are one 6; two 0.